No. 1
{"formula": "PmSmZn2Ge2", "functional": "PBE-GGA", "state": "optimized geometry", "cell": [[-1.755, 1.048, -3.701], [-1.585, -3.203, 2.260], [-5.116, 5.301, 3.927]], "species": ["Pm", "Sm", "Zn", "Zn", "Ge", "Ge"], "fractional_positions": [[0.000, 0.000, 0.000], [0.000, 0.000, 0.500], [0.333, 0.667, 0.749], [0.667, 0.333, 0.251], [0.333, 0.667, 0.251], [0.667, 0.333, 0.749]], "space_group": "No. 164", "e_form_ev_per_atom": -0.6733, "mass_density_g_cm3": 7.34}

***

No. 2
{"formula": "CrSn", "functional": "PBE-GGA", "state": "optimized geometry", "cell": [[8.407, 0.000, 0.000], [0.000, 13.491, 0.000], [0.000, 0.000, 5.095]], "species": ["Cr", "Cr", "Cr", "Cr", "Cr", "Cr", "Cr", "Cr", "Cr", "Cr", "Cr", "Cr", "Cr", "Cr", "Cr", "Cr", "Sn", "Sn", "Sn", "Sn", "Sn", "Sn", "Sn", "Sn", "Sn", "Sn", "Sn", "Sn", "Sn", "Sn", "Sn", "Sn"], "fractional_positions": [[0.000, 0.922, 0.000], [0.000, 0.078, 0.000], [0.250, 0.828, 0.250], [0.250, 0.672, 0.250], [0.000, 0.422, 0.500], [0.000, 0.578, 0.500], [0.250, 0.328, 0.750], [0.250, 0.172, 0.750], [0.500, 0.922, 0.500], [0.500, 0.078, 0.500], [0.750, 0.828, 0.750], [0.750, 0.672, 0.750], [0.500, 0.422, 0.000], [0.500, 0.578, 0.000], [0.750, 0.328, 0.250], [0.750, 0.172, 0.250], [0.331, 0.000, 0.000], [0.669, 0.000, 0.000], [0.919, 0.750, 0.250], [0.581, 0.750, 0.250], [0.331, 0.500, 0.500], [0.669, 0.500, 0.500], [0.919, 0.250, 0.750], [0.581, 0.250, 0.750], [0.831, 0.000, 0.500], [0.169, 0.000, 0.500], [0.419, 0.750, 0.750], [0.081, 0.750, 0.750], [0.831, 0.500, 0.000], [0.169, 0.500, 0.000], [0.419, 0.250, 0.250], [0.081, 0.250, 0.250]], "space_group": "No. 70", "e_form_ev_per_atom": 0.5883, "mass_density_g_cm3": 7.85}

***

No. 3
{"formula": "LiZrH2", "functional": "PBE-GGA", "state": "optimized geometry", "cell": [[4.270, 0.000, 0.000], [0.000, 4.270, 0.000], [2.135, 2.135, 4.960]], "species": ["H", "H", "H", "H", "Zr", "Zr", "Li", "Li"], "fractional_positions": [[0.604, 0.125, 0.250], [0.146, 0.625, 0.250], [0.375, 0.396, 0.750], [0.875, 0.854, 0.750], [0.000, 0.000, 0.000], [0.750, 0.250, 0.500], [0.500, 0.500, 0.000], [0.250, 0.750, 0.500]], "space_group": "No. 122", "mass_density_g_cm3": 3.68, "e_above_lowest_polymorph_ev_per_atom": 0.1584}

***

No. 4
{"formula": "PuHf7Sn3", "functional": "PBE-GGA", "state": "optimized geometry", "cell": [[-4.794, 2.065, 1.306], [-0.768, -6.482, -3.648], [3.024, -3.645, 5.786]], "species": ["Pu", "Hf", "Hf", "Hf", "Hf", "Hf", "Hf", "Hf", "Sn", "Sn", "Sn"], "fractional_positions": [[0.500, 0.500, 0.500], [0.179, 0.179, 0.179], [0.325, 0.056, 0.593], [0.675, 0.407, 0.944], [0.325, 0.593, 0.056], [0.000, 0.500, 0.500], [0.675, 0.944, 0.407], [0.821, 0.821, 0.821], [0.000, 0.768, 0.232], [0.500, 0.000, 0.000], [0.000, 0.232, 0.768]], "space_group": "No. 71", "e_form_ev_per_atom": 0.1435, "mass_density_g_cm3": 11.85}

***

No. 5
{"formula": "LiEr4Hg5", "functional": "PBE-GGA", "state": "optimized geometry", "cell": [[3.638, 0.000, 0.000], [0.000, 3.638, 0.000], [0.000, 0.000, 18.174]], "species": ["Li", "Er", "Er", "Er", "Er", "Hg", "Hg", "Hg", "Hg", "Hg"], "fractional_positions": [[0.000, 0.000, 0.000], [0.000, 0.000, 0.191], [0.000, 0.000, 0.397], [0.000, 0.000, 0.603], [0.000, 0.000, 0.809], [0.500, 0.500, 0.089], [0.500, 0.500, 0.294], [0.500, 0.500, 0.500], [0.500, 0.500, 0.706], [0.500, 0.500, 0.911]], "space_group": "No. 123", "e_form_ev_per_atom": -0.4454, "mass_density_g_cm3": 11.59}

***

No. 6
{"formula": "HfAu2SeS", "functional": "PBE-GGA", "state": "optimized geometry", "cell": [[5.362, 0.000, 0.000], [0.000, 5.006, 0.000], [0.000, 0.000, 5.362]], "species": ["Hf", "S", "Au", "Au", "Se"], "fractional_positions": [[0.000, 0.000, 0.000], [0.500, 0.500, 0.500], [0.000, 0.000, 0.500], [0.500, 0.000, 0.000], [0.000, 0.500, 0.000]], "space_group": "No. 123", "mass_density_g_cm3": 7.89, "raw_formation_energy_mev_per_atom": 601}